1.
Compound: Fe3Ir
Source: Alexandria via LeMat-Bulk
Functional: SCAN
Structure: single point on PBEsol structure

The space group is Cmcm (No. 63) and the conventional cell measures 5.022, 8.827 and 4.017 Å, with angles of 90.00, 90.00 and 90.00 degrees. The distinct sites, in fractional coordinates, are Fe at (0.000, 0.081, 0.250), Fe at (0.242, 0.169, 0.750) and Ir at (0.000, 0.410, 0.750).

For the total magnetization, the calculation gives 1.83 μB per formula unit. The calculated formation energy comes out at 59 meV per atom. As for the total DFT energy (no corrections): -501.0 eV per cell.


2.
Compound: Li2BPd3
Source: Alexandria via LeMat-Bulk
Functional: SCAN
Structure: single point on PBEsol structure

The space group is P4_332 (No. 212) and the conventional cell measures 6.730, 6.730 and 6.730 Å, with angles of 90.00, 90.00 and 90.00 degrees. The distinct sites, in fractional coordinates, are Li at (0.056, 0.444, 0.556), B at (0.125, 0.875, 0.375) and Pd at (0.054, 0.625, 0.196).

For the total magnetization, the calculation gives 0.00 μB per formula unit. The calculated formation energy comes out at -493 meV per atom. As for the total DFT energy (no corrections): -453.9 eV per cell.


3.
Compound: KBa2Sr
Source: Alexandria via LeMat-Bulk
Functional: SCAN
Structure: single point on PBEsol structure

The space group is Pmmm (No. 47) and the conventional cell measures 4.650, 7.109 and 7.125 Å, with angles of 90.00, 90.00 and 90.00 degrees. The distinct sites, in fractional coordinates, are K at (0.000, 0.000, 0.000), Ba at (0.000, 0.500, 0.500), Ba at (0.500, 0.500, 0.000) and Sr at (0.500, 0.000, 0.500).

For the total magnetization, the calculation gives 0.22 μB per formula unit. The calculated formation energy comes out at 93 meV per atom. As for the total DFT energy (no corrections): -109.3 eV per cell.


- Which value of total DFT energy (no corrections) does entry 3 give?
  -109.3 eV per cell